(1)
## Co5PdS8 (PBE-GGA)

Data for a relaxed Co5PdS8 crystal.

Values from the calculation:
Formation energy from raw total energies   -406 meV per atom

abc: 6.674 6.674 6.674
angles: 60.00 60.00 60.00
Atoms (fractional coordinates):
Co  0.000  0.000  0.000
Co  0.374  0.374  0.374
Co  0.374  0.374  0.878
Co  0.374  0.878  0.374
Co  0.878  0.374  0.374
Pd  0.750  0.750  0.750
S  0.132  0.132  0.132
S  0.132  0.132  0.603
S  0.132  0.603  0.132
S  0.172  0.609  0.609
S  0.603  0.132  0.132
S  0.609  0.172  0.609
S  0.609  0.609  0.172
S  0.609  0.609  0.609

***

(2)
## MnCdBr2 (PBE-GGA)

Data for a relaxed MnCdBr2 crystal.

Values from the calculation:
Formation energy from raw total energies   -150 meV per atom
ΔE to the lowest computed polymorph   302.9 meV/atom

abc: 3.442 3.442 8.802
angles: 90.00 90.00 90.00
Atoms (fractional coordinates):
Mn  0.000  0.000  0.000
Cd  0.500  0.500  0.761
Br  0.000  0.000  0.568
Br  0.500  0.500  0.164

***

(3)
## HoTm2Co2 (PBE-GGA)

Data for a relaxed HoTm2Co2 crystal.

Values from the calculation:
Formation energy from the elements   -204 meV/atom
ΔE to the lowest computed polymorph   0.0 meV/atom

abc: 6.068 6.068 7.243
angles: 100.56 100.56 55.64
Atoms (fractional coordinates):
Ho  0.096  0.904  0.750
Ho  0.904  0.096  0.250
Tm  0.221  0.458  0.348
Tm  0.458  0.221  0.848
Tm  0.542  0.779  0.152
Tm  0.779  0.542  0.652
Co  0.024  0.306  0.012
Co  0.306  0.024  0.512
Co  0.694  0.976  0.488
Co  0.976  0.694  0.988

***

(4)
## Tb3Al12Os4 (PBE-GGA)

Data for a relaxed Tb3Al12Os4 crystal.

Values from the calculation:
Formation energy from the elements   -596 meV/atom

abc: 8.815 8.815 9.625
angles: 90.00 90.00 120.00
Atoms (fractional coordinates):
Tb  0.193  0.387  0.250
Tb  0.193  0.807  0.250
Tb  0.387  0.193  0.750
Tb  0.613  0.807  0.250
Tb  0.807  0.193  0.750
Tb  0.807  0.613  0.750
Al  0.000  0.000  0.250
Al  0.000  0.000  0.750
Al  0.124  0.562  0.750
Al  0.164  0.327  0.575
Al  0.164  0.327  0.925
Al  0.164  0.836  0.575
Al  0.164  0.836  0.925
Al  0.327  0.164  0.075
Al  0.327  0.164  0.425
Al  0.333  0.667  0.018
Al  0.333  0.667  0.482
Al  0.438  0.562  0.750
Al  0.438  0.876  0.750
Al  0.562  0.124  0.250
Al  0.562  0.438  0.250
Al  0.667  0.333  0.518
Al  0.667  0.333  0.982
Al  0.673  0.836  0.575
Al  0.673  0.836  0.925
Al  0.836  0.164  0.075
Al  0.836  0.164  0.425
Al  0.836  0.673  0.075
Al  0.836  0.673  0.425
Al  0.876  0.438  0.250
Os  0.000  0.000  0.000
Os  0.000  0.000  0.500
Os  0.000  0.500  0.000
Os  0.000  0.500  0.500
Os  0.500  0.000  0.000
Os  0.500  0.000  0.500
Os  0.500  0.500  0.000
Os  0.500  0.500  0.500

***

(5)
## CaLa3Tc (PBE-GGA)

Data for a relaxed CaLa3Tc crystal.

Values from the calculation:
Formation energy from the elements   313 meV/atom
ΔE to the lowest computed polymorph   328.6 meV/atom

abc: 10.267 10.267 10.267
angles: 144.21 144.21 51.51
Atoms (fractional coordinates):
Ca  0.193  0.193  0.000
Ca  0.807  0.807  0.000
La  0.029  0.529  0.500
La  0.121  0.368  0.753
La  0.471  0.971  0.500
La  0.615  0.368  0.247
La  0.632  0.385  0.753
La  0.632  0.879  0.247
Tc  0.500  0.500  0.000
Tc  0.750  0.250  0.500

***

(6)
## SrCa5O6 (PBE-GGA)

Data for a relaxed SrCa5O6 crystal.

Values from the calculation:
Formation energy from raw total energies   -2904 meV per atom

abc: 6.009 6.009 6.003
angles: 99.60 99.60 120.00
Atoms (fractional coordinates):
Sr  0.000  0.000  0.000
Ca  0.168  0.832  0.500
Ca  0.333  0.667  0.000
Ca  0.500  0.500  0.500
Ca  0.667  0.333  0.000
Ca  0.832  0.168  0.500
O  0.085  0.428  0.254
O  0.258  0.258  0.744
O  0.428  0.085  0.254
O  0.572  0.915  0.746
O  0.742  0.742  0.256
O  0.915  0.572  0.746

***

(7)
## Te2SeCl (PBE-GGA)

Data for a relaxed Te2SeCl crystal.

Values from the calculation:
Formation energy from raw total energies   95 meV per atom
ΔE to the lowest computed polymorph   242.6 meV/atom

abc: 5.823 5.823 3.342
angles: 90.42 90.42 88.43
Atoms (fractional coordinates):
Te  0.000  0.500  0.000
Te  0.500  0.000  0.000
Se  0.000  0.000  0.000
Cl  0.500  0.500  0.000

***

(8)
## Pm2Pa2Te7 (PBE-GGA)

Data for a relaxed Pm2Pa2Te7 crystal.

Values from the calculation:
Formation energy from raw total energies   -1094 meV per atom
ΔE to the lowest computed polymorph   0.0 meV/atom

abc: 9.700 9.700 9.700
angles: 154.32 66.97 119.34
Atoms (fractional coordinates):
Pm  0.238  0.000  0.238
Pm  0.762  0.000  0.762
Pa  0.320  0.820  0.500
Pa  0.768  0.768  0.000
Te  0.028  0.706  0.322
Te  0.082  0.082  0.000
Te  0.384  0.706  0.678
Te  0.386  0.492  0.893
Te  0.599  0.492  0.107
Te  0.673  0.309  0.363
Te  0.946  0.309  0.637